No. 1
## Pm2Al7 (PBE)

Data for a geometry-optimized Pm2Al7 structure.

The total magnetization is 0.00 μB per formula unit. For the density of states at the Fermi level, the calculation gives 10.3 states/eV per cell. The formation energy from the elements is -0.33 eV per atom. Its uncorrected energy is -4.2919 eV per atom.

The structure in POSCAR format:
```
Pm2Al7
1.0
2.8044 1.6191 13.3085
-2.8044 1.6191 13.3085
0.0000 -3.2382 13.3085
Pm Al
4 14
Direct
0.0521 0.0521 0.0521
0.1495 0.1495 0.1495
0.8505 0.8505 0.8505
0.9479 0.9479 0.9479
0.0000 0.5000 0.5000
0.1054 0.6126 0.6126
0.2788 0.2788 0.2788
0.3874 0.3874 0.8946
0.3874 0.8946 0.3874
0.3886 0.3886 0.3886
0.5000 0.0000 0.5000
0.5000 0.5000 0.0000
0.5000 0.5000 0.5000
0.6114 0.6114 0.6114
0.6126 0.1054 0.6126
0.6126 0.6126 0.1054
0.7212 0.7212 0.7212
0.8946 0.3874 0.3874
```

---

No. 2
## TbY2Pd9 (PBE)

Data for a geometry-optimized TbY2Pd9 structure.

The total magnetization is 0.00 μB per formula unit. For the density of states at the Fermi level, the calculation gives 8.6 states/eV per cell. The formation energy from the elements is -0.85 eV per atom. Its uncorrected energy is -6.2060 eV per atom.

The structure in POSCAR format:
```
TbY2Pd9
1.0
4.1344 0.0000 0.0000
0.0000 4.1344 0.0000
0.0000 0.0000 12.4029
Tb Y Pd
1 2 9
Direct
0.0000 0.0000 0.0000
0.0000 0.0000 0.3331
0.0000 0.0000 0.6669
0.0000 0.5000 0.1664
0.0000 0.5000 0.5000
0.0000 0.5000 0.8336
0.5000 0.0000 0.1664
0.5000 0.0000 0.5000
0.5000 0.0000 0.8336
0.5000 0.5000 0.0000
0.5000 0.5000 0.3334
0.5000 0.5000 0.6666
```

---

No. 3
## Ta2BePt (PBE)

Data for a geometry-optimized Ta2BePt structure.

The total magnetization is 0.00 μB per formula unit. For the density of states at the Fermi level, the calculation gives 2.8 states/eV per cell. The formation energy from the elements is -0.24 eV per atom. Its uncorrected energy is -8.6051 eV per atom.

The structure in POSCAR format:
```
Ta2BePt
1.0
-1.8239 2.0700 4.0755
1.8239 -2.0700 4.0755
1.8239 2.0700 -4.0755
Ta Be Pt
2 1 1
Direct
0.2460 0.2460 0.0000
0.7540 0.7540 0.0000
0.0000 0.5000 0.5000
0.5000 0.0000 0.5000
```

---

No. 4
## Pm5Pb2N2 (PBE)

Data for a geometry-optimized Pm5Pb2N2 structure.

The total magnetization is 0.00 μB per formula unit. The calculation puts the uncorrected formation energy at -0.89 eV per atom. For the density of states at the Fermi level, the calculation gives 2.8 states/eV per cell. Its uncorrected energy is -6.1992 eV per atom.

The structure in POSCAR format:
```
Pm5Pb2N2
1.0
4.9006 0.0000 0.0000
0.0000 4.9006 0.0000
0.0000 0.0000 9.8786
Pm Pb N
5 2 2
Direct
0.0000 0.0000 0.0000
0.0000 0.5000 0.2823
0.0000 0.5000 0.7177
0.5000 0.0000 0.2823
0.5000 0.0000 0.7177
0.5000 0.5000 0.0000
0.5000 0.5000 0.5000
0.0000 0.0000 0.2406
0.0000 0.0000 0.7594
```

---

Q: Among the records above, which one has the lowest uncorrected energy?
A: Ta2BePt

---

Q: The highest uncorrected energy belongs to which entry?
A: Pm2Al7